! NaReSCl2 (PBE, optimized geometry); values from VASP
&SYSTEM
  ibrav = 0, nat = 5, ntyp = 4
/
ATOMIC_SPECIES
Re 186.21 Re.upf
Cl 35.45 Cl.upf
Na 22.99 Na.upf
S 32.06 S.upf
CELL_PARAMETERS angstrom
4.807 0.000 0.000
0.000 4.807 0.000
0.000 0.000 5.253
ATOMIC_POSITIONS angstrom
Re 2.404 2.404 2.627
Cl 0.000 2.404 0.000
Cl 2.404 0.000 0.000
Na 0.000 0.000 0.000
S 0.000 0.000 2.627
! E above lowest polymorph: 1307 meV per atom
! DOS at the Fermi energy: 4.112 states/eV/f.u.
! formation energy without anion corrections: 0.91 eV per atom
! total magnetization: 4.0 μB per cell
! uncorrected energy: -3.41 eV per atom